The following is a DFT calculation (PBEsol) of a relaxed structure of Li4ZrO4.

Structure (CIF):
```
data_Li4ZrO4
_space_group_name_H-M_alt 'P 1 21/c 1'
_space_group_IT_number 14
_space_group_name_Hall '-P 2ybc'
_cell_length_a 5.250
_cell_length_b 14.955
_cell_length_c 5.301
_cell_angle_alpha 90.00
_cell_angle_beta 115.66
_cell_angle_gamma 90.00
loop_
_atom_site_label
_atom_site_type_symbol
_atom_site_fract_x
_atom_site_fract_y
_atom_site_fract_z
Li1 Li 0.106 0.112 0.190
Li2 Li 0.145 0.227 0.555
Li3 Li 0.246 0.011 0.798
Li4 Li 0.364 0.718 0.368
Zr1 Zr 0.337 0.600 0.915
O1 O 0.022 0.595 0.021
O2 O 0.161 0.683 0.594
O3 O 0.383 0.012 0.212
O4 O 0.397 0.197 0.361
```

## Properties
- formation energy from raw total energies (eV/atom) = -2.397

The following is a DFT calculation (PBEsol) of a relaxed structure of Ba3Bi2TeO9.

Structure (CIF):
```
data_Ba3Bi2TeO9
_space_group_name_H-M_alt 'P -3 c 1'
_space_group_IT_number 165
_space_group_name_Hall '-P 3 2"c'
_cell_length_a 6.1979
_cell_length_b 6.1979
_cell_length_c 14.7600
_cell_angle_alpha 90.00
_cell_angle_beta 90.00
_cell_angle_gamma 120.00
loop_
_atom_site_label
_atom_site_type_symbol
_atom_site_fract_x
_atom_site_fract_y
_atom_site_fract_z
Ba1 Ba 0.0000 0.0000 0.2500
Ba2 Ba 0.3333 0.6667 0.0840
Bi1 Bi 0.3333 0.6667 0.3344
Te1 Te 0.0000 0.0000 0.0000
O1 O 0.0000 0.4431 0.2500
O2 O 0.0792 0.2893 0.9241
```

## Properties
- formation energy from raw total energies (eV/atom) = -1.956

The following is a DFT calculation (PBEsol) of a relaxed structure of As2PtCO.

Structure (CIF):
```
data_As2PtCO
_space_group_name_H-M_alt 'P 4/m m m'
_space_group_IT_number 123
_space_group_name_Hall '-P 4 2'
_cell_length_a 4.195
_cell_length_b 4.195
_cell_length_c 3.784
_cell_angle_alpha 90.00
_cell_angle_beta 90.00
_cell_angle_gamma 90.00
loop_
_atom_site_label
_atom_site_type_symbol
_atom_site_fract_x
_atom_site_fract_y
_atom_site_fract_z
As1 As 0.000 0.500 0.000
Pt1 Pt 0.000 0.000 0.500
C1 C 0.500 0.500 0.500
O1 O 0.500 0.500 0.000
```

## Properties
- formation energy from raw total energies (eV/atom) = 1.030

The following is a DFT calculation (PBEsol) of a relaxed structure of Cu2AsPt.

Structure (CIF):
```
data_Cu2AsPt
_space_group_name_H-M_alt 'P m m 2'
_space_group_IT_number 25
_space_group_name_Hall 'P 2 -2'
_cell_length_a 2.850
_cell_length_b 4.199
_cell_length_c 4.536
_cell_angle_alpha 90.00
_cell_angle_beta 90.00
_cell_angle_gamma 90.00
loop_
_atom_site_label
_atom_site_type_symbol
_atom_site_fract_x
_atom_site_fract_y
_atom_site_fract_z
Cu1 Cu 0.000 0.000 0.000
Cu2 Cu 0.000 0.500 0.305
As1 As 0.500 0.000 0.484
Pt1 Pt 0.500 0.500 0.809
```

## Properties
- energy relative to the elements (meV per atom) = -65

The following is a DFT calculation (PBEsol) of a relaxed structure of ScCo2N.

Structure (CIF):
```
data_ScCo2N
_space_group_name_H-M_alt 'I -4 2 d'
_space_group_IT_number 122
_space_group_name_Hall 'I -4 2bw'
_cell_length_a 6.357
_cell_length_b 6.357
_cell_length_c 4.653
_cell_angle_alpha 90.00
_cell_angle_beta 90.00
_cell_angle_gamma 90.00
loop_
_atom_site_label
_atom_site_type_symbol
_atom_site_fract_x
_atom_site_fract_y
_atom_site_fract_z
Sc1 Sc 0.000 0.000 0.000
Co1 Co 0.106 0.750 0.625
N1 N 0.000 0.000 0.500
```

## Properties
- formation energy from raw total energies (eV/atom) = -0.382

The following is a DFT calculation (PBEsol) of a relaxed structure of LaMg4Mo.

Structure (CIF):
```
data_LaMg4Mo
_space_group_name_H-M_alt 'F -4 3 m'
_space_group_IT_number 216
_space_group_name_Hall 'F -4 2 3'
_cell_length_a 8.125
_cell_length_b 8.125
_cell_length_c 8.125
_cell_angle_alpha 90.00
_cell_angle_beta 90.00
_cell_angle_gamma 90.00
loop_
_atom_site_label
_atom_site_type_symbol
_atom_site_fract_x
_atom_site_fract_y
_atom_site_fract_z
La1 La 0.000 0.000 0.000
Mg1 Mg 0.124 0.124 0.376
Mo1 Mo 0.250 0.250 0.750
```

## Properties
- energy relative to the elements (meV per atom) = 375

The following is a DFT calculation (PBEsol) of a relaxed structure of CaScSb2.

Structure (CIF):
```
data_CaScSb2
_space_group_name_H-M_alt 'I -4 m 2'
_space_group_IT_number 119
_space_group_name_Hall 'I -4 -2'
_cell_length_a 4.289
_cell_length_b 4.289
_cell_length_c 10.677
_cell_angle_alpha 90.00
_cell_angle_beta 90.00
_cell_angle_gamma 90.00
loop_
_atom_site_label
_atom_site_type_symbol
_atom_site_fract_x
_atom_site_fract_y
_atom_site_fract_z
Ca1 Ca 0.000 0.000 0.000
Sc1 Sc 0.000 0.500 0.750
Sb1 Sb 0.000 0.000 0.500
Sb2 Sb 0.000 0.500 0.250
```

## Properties
- formation energy from raw total energies (eV/atom) = -0.778
- polymorph energy (0 for the lowest one) (meV per atom) = 90.0

The following is a DFT calculation (PBEsol) of a relaxed structure of SiBi3Te.

Structure (CIF):
```
data_SiBi3Te
_space_group_name_H-M_alt 'P m -3 m'
_space_group_IT_number 221
_space_group_name_Hall '-P 4 2 3'
_cell_length_a 5.735
_cell_length_b 5.735
_cell_length_c 5.735
_cell_angle_alpha 90.00
_cell_angle_beta 90.00
_cell_angle_gamma 90.00
loop_
_atom_site_label
_atom_site_type_symbol
_atom_site_fract_x
_atom_site_fract_y
_atom_site_fract_z
Si1 Si 0.000 0.000 0.000
Bi1 Bi 0.000 0.500 0.500
Te1 Te 0.500 0.500 0.500
```

## Properties
- formation energy from raw total energies (eV/atom) = 1.146